The following is a GGA-PBEsol calculation of a relaxed structure of TaCrS2N, from Alexandria.

a = 3.8595 Å, b = 4.8352 Å, c = 4.8352 Å
α = 90.00°, β = 90.00°, γ = 90.00°
With the nearest neighbours (Å) after each atom.
Positions (direct):
Cr1 0.5000 0.5000 0.5000  8 S 3.09, 4 N 3.42
S1 0.0000 0.0000 0.5000  2 Ta 2.42
S2 0.0000 0.5000 0.0000  2 Ta 2.42
N1 0.5000 0.0000 0.0000  2 Ta 1.93
Ta1 0.0000 0.0000 0.0000  2 N 1.93

Output
total DFT energy (no corrections)	-39.88	eV/cell
uncorrected formation energy	42.4	meV/atom
mass density	5.72	g/cm³



The following is a GGA-PBEsol calculation of a relaxed structure of HfCo3B2, from Alexandria.

a = 3.0177 Å, b = 4.7660 Å, c = 4.7660 Å
α = 120.00°, β = 90.00°, γ = 90.00°
With the nearest neighbours (Å) after each atom.
Positions (direct):
Hf1 0.0000 0.0000 0.0000  6 B 2.75, 12 Co 2.82, 2 Hf 3.02
B1 0.0000 0.6667 0.3333  6 Co 2.04
B2 0.0000 0.3333 0.6667  6 Co 2.04
Co1 0.5000 0.5000 0.5000  4 B 2.04
Co2 0.5000 0.0000 0.5000  4 B 2.04
Co3 0.5000 0.5000 0.0000  4 B 2.04

Output
total DFT energy (no corrections)	-51.74	eV/cell
formation energy	-0.666	eV/atom
distance to the lowest polymorph of the same formula	0.0161	eV/atom
mass density	10.54	g/cm³